# NaCa2Rh, relaxed, DFT GGA-PBE
data_NaCa2Rh
_chemical_formula_sum 'Na1 Ca2 Rh1'
_space_group_name_H-M_alt 'P 1'
_space_group_IT_number 1
_space_group_name_Hall 'P 1'
_cell_length_a 3.509
_cell_length_b 3.509
_cell_length_c 9.438
_cell_angle_alpha 90.00
_cell_angle_beta 90.00
_cell_angle_gamma 90.00
loop_
_atom_site_label
_atom_site_type_symbol
_atom_site_fract_x
_atom_site_fract_y
_atom_site_fract_z
_atom_site_occupancy
Na1 Na 0.500 0.500 0.500 1
Ca1 Ca 0.000 0.000 0.827 1
Ca2 Ca 0.000 0.000 0.173 1
Rh1 Rh 0.500 0.500 0.000 1
# **E**: -3.406 eV/atom
# **Density**: 2.94 g/cm³
# **Crystal system**: tetragonal